The following is a DFT calculation (PBE+U) of a relaxed structure of Ca2PaWO8.

Structure (extended XYZ):
```
12
Lattice="3.542 -3.694 0.000 3.542 3.694 0.000 0.000 0.000 6.805" Properties=species:S:1:pos:R:3 pbc="T T T"
Ca 0.000 0.000 1.634
Ca 0.000 0.000 5.171
Pa 3.542 0.000 3.402
W 3.542 0.000 0.000
O 1.531 0.000 3.402
O 1.631 0.000 0.000
O 3.542 1.301 1.495
O 3.542 1.301 5.310
O 3.542 -1.301 1.495
O 3.542 -1.301 5.310
O 5.453 0.000 0.000
O 5.553 0.000 3.402
```

Output
N(E_F)	6.54	states/eV per cell
density	5.809	g cm⁻³
uncorrected energy	-93.1	eV/cell
crystal system	orthorhombic